[1]
Compound: TbTmCd
Source: the Alexandria database
Functional: GGA-PBE
Structure: optimized geometry

a = 6.1074 Å, b = 3.3546 Å, c = 8.1164 Å
α = 90.00°, β = 90.00°, γ = 90.00°
Sites, in units of the cell vectors:
Tb (0.0000, 0.0000, 0.0000)
Tb (0.5000, 0.0000, 0.0000)
Tm (0.2500, 0.0000, 0.3839)
Tm (0.7500, 0.0000, 0.6161)
Cd (0.2500, 0.5000, 0.7093)
Cd (0.7500, 0.5000, 0.2907)

Formation energy from the elements (meV per atom): -18
SG: No. 51
M_tot (μB per cell): 0.00

***

[2]
Compound: Tb5Tm4Cd
Source: the Alexandria database
Functional: GGA-PBE
Structure: optimized geometry

a = 7.8123 Å, b = 7.8123 Å, c = 7.8123 Å
α = 98.89°, β = 98.89°, γ = 133.71°
Sites, in units of the cell vectors:
Tb (0.0000, 0.0000, 0.0000)
Tb (0.0966, 0.4690, 0.9184)
Tb (0.1782, 0.0966, 0.6277)
Tb (0.4690, 0.5506, 0.3723)
Tb (0.5506, 0.1782, 0.0816)
Tm (0.1651, 0.7751, 0.3032)
Tm (0.4718, 0.8619, 0.6968)
Tm (0.7751, 0.4718, 0.6100)
Tm (0.8619, 0.1651, 0.3900)
Cd (0.5374, 0.5374, 0.0000)

Formation energy from the elements (meV per atom): 232
SG: No. 79
M_tot (μB per cell): 0.00

***

[3]
Compound: Tb2TmCd8
Source: the Alexandria database
Functional: GGA-PBE
Structure: optimized geometry

a = 8.9052 Å, b = 8.9052 Å, c = 5.3266 Å
α = 106.77°, β = 106.77°, γ = 125.45°
Sites, in units of the cell vectors:
Tb (0.1888, 0.8112, 0.0000)
Tb (0.8112, 0.1888, 0.0000)
Tm (0.5000, 0.5000, 0.5000)
Cd (0.0235, 0.0235, 0.7756)
Cd (0.1411, 0.3986, 0.7544)
Cd (0.3010, 0.6990, 0.5000)
Cd (0.3986, 0.1411, 0.7544)
Cd (0.6014, 0.8589, 0.2456)
Cd (0.6990, 0.3010, 0.5000)
Cd (0.8589, 0.6014, 0.2456)
Cd (0.9765, 0.9765, 0.2244)

Formation energy from the elements (meV per atom): -218
SG: No. 12
M_tot (μB per cell): 0.00

***

[4]
Compound: Tb6Tm3Cd
Source: the Alexandria database
Functional: GGA-PBE
Structure: optimized geometry

a = 10.9377 Å, b = 4.9828 Å, c = 11.1266 Å
α = 90.00°, β = 91.36°, γ = 90.00°
Sites, in units of the cell vectors:
Tb (0.0471, 0.2500, 0.3970)
Tb (0.1408, 0.7500, 0.1869)
Tb (0.1531, 0.2500, 0.6925)
Tb (0.2392, 0.2500, 0.9951)
Tb (0.3477, 0.7500, 0.7987)
Tb (0.4496, 0.2500, 0.6021)
Tb (0.5504, 0.7500, 0.3979)
Tb (0.6523, 0.2500, 0.2013)
Tb (0.7608, 0.7500, 0.0049)
Tb (0.8469, 0.7500, 0.3075)
Tb (0.8592, 0.2500, 0.8131)
Tb (0.9529, 0.7500, 0.6030)
Tm (0.2484, 0.7500, 0.4932)
Tm (0.3472, 0.2500, 0.2936)
Tm (0.4486, 0.7500, 0.0992)
Tm (0.5514, 0.2500, 0.9008)
Tm (0.6528, 0.7500, 0.7064)
Tm (0.7516, 0.2500, 0.5068)
Cd (0.0510, 0.7500, 0.8956)
Cd (0.9490, 0.2500, 0.1044)

Formation energy from the elements (meV per atom): -18
SG: No. 11
M_tot (μB per cell): 0.00

***

[5]
Compound: Tb2TmCd
Source: the Alexandria database
Functional: GGA-PBE
Structure: optimized geometry

a = 3.5782 Å, b = 3.5782 Å, c = 9.0313 Å
α = 90.00°, β = 90.00°, γ = 90.00°
Sites, in units of the cell vectors:
Tb (0.0000, 0.0000, 0.2305)
Tb (0.0000, 0.0000, 0.7695)
Tm (0.5000, 0.5000, 0.5000)
Cd (0.5000, 0.5000, 0.0000)

Formation energy from the elements (meV per atom): -139
SG: No. 123
M_tot (μB per cell): 0.00

***

[6]
Compound: TbTm4Cd5
Source: the Alexandria database
Functional: GGA-PBE
Structure: optimized geometry

a = 3.7032 Å, b = 3.7032 Å, c = 18.6070 Å
α = 90.00°, β = 90.00°, γ = 90.00°
Sites, in units of the cell vectors:
Tb (0.0000, 0.0000, 0.0000)
Tm (0.0000, 0.0000, 0.2023)
Tm (0.0000, 0.0000, 0.4009)
Tm (0.0000, 0.0000, 0.5991)
Tm (0.0000, 0.0000, 0.7977)
Cd (0.5000, 0.5000, 0.1039)
Cd (0.5000, 0.5000, 0.3014)
Cd (0.5000, 0.5000, 0.5000)
Cd (0.5000, 0.5000, 0.6986)
Cd (0.5000, 0.5000, 0.8961)

Formation energy from the elements (meV per atom): -313
SG: No. 123
M_tot (μB per cell): 0.08

***

[7]
Compound: TbTmCd
Source: the Alexandria database
Functional: GGA-PBE
Structure: optimized geometry

a = 5.1236 Å, b = 5.1236 Å, c = 7.2307 Å
α = 90.00°, β = 90.00°, γ = 90.00°
Sites, in units of the cell vectors:
Tb (0.0000, 0.0000, 0.0000)
Tb (0.5000, 0.5000, 0.5000)
Tm (0.0000, 0.0000, 0.5000)
Tm (0.5000, 0.5000, 0.0000)
Cd (0.0000, 0.5000, 0.7500)
Cd (0.5000, 0.0000, 0.2500)

Formation energy from the elements (meV per atom): 95
SG: No. 119
M_tot (μB per cell): 0.00

***

[8]
Compound: Tb3TmCd6
Source: the Alexandria database
Functional: GGA-PBE
Structure: optimized geometry

a = 9.1872 Å, b = 5.1466 Å, c = 11.0220 Å
α = 90.00°, β = 105.32°, γ = 90.00°
Sites, in units of the cell vectors:
Tb (0.0290, 0.2500, 0.3932)
Tb (0.1503, 0.7500, 0.2110)
Tb (0.2605, 0.2500, 0.0021)
Tb (0.7395, 0.7500, 0.9979)
Tb (0.8497, 0.2500, 0.7890)
Tb (0.9710, 0.7500, 0.6068)
Tm (0.4462, 0.2500, 0.6038)
Tm (0.5538, 0.7500, 0.3962)
Cd (0.0500, 0.7500, 0.9072)
Cd (0.1638, 0.2500, 0.7064)
Cd (0.2637, 0.7500, 0.5078)
Cd (0.3551, 0.7500, 0.8097)
Cd (0.3558, 0.2500, 0.3071)
Cd (0.4498, 0.7500, 0.1059)
Cd (0.5502, 0.2500, 0.8941)
Cd (0.6442, 0.7500, 0.6929)
Cd (0.6449, 0.2500, 0.1903)
Cd (0.7363, 0.2500, 0.4922)
Cd (0.8362, 0.7500, 0.2936)
Cd (0.9500, 0.2500, 0.0928)

Formation energy from the elements (meV per atom): -287
SG: No. 11
M_tot (μB per cell): 0.01

***

[9]
Compound: Tb6TmCd5
Source: the Alexandria database
Functional: GGA-PBE
Structure: optimized geometry

a = 9.2798 Å, b = 9.2798 Å, c = 5.2665 Å
α = 106.43°, β = 106.43°, γ = 49.42°
Sites, in units of the cell vectors:
Tb (0.0745, 0.5843, 0.3292)
Tb (0.2329, 0.7671, 0.0000)
Tb (0.4157, 0.9255, 0.6708)
Tb (0.5843, 0.0745, 0.3292)
Tb (0.7671, 0.2329, 0.0000)
Tb (0.9255, 0.4157, 0.6708)
Tm (0.5000, 0.5000, 0.5000)
Cd (0.0000, 0.0000, 0.5000)
Cd (0.1683, 0.1683, 0.1685)
Cd (0.3469, 0.3469, 0.8467)
Cd (0.6531, 0.6531, 0.1533)
Cd (0.8317, 0.8317, 0.8315)

Formation energy from the elements (meV per atom): -221
SG: No. 12
M_tot (μB per cell): 0.00

***

[10]
Compound: Tb3TmCd3
Source: the Alexandria database
Functional: GGA-PBE
Structure: optimized geometry

a = 7.5607 Å, b = 7.5607 Å, c = 6.9174 Å
α = 90.00°, β = 90.00°, γ = 91.15°
Sites, in units of the cell vectors:
Tb (0.1944, 0.1944, 0.5000)
Tb (0.2095, 0.7905, 0.0000)
Tb (0.2582, 0.2582, 0.0000)
Tb (0.7418, 0.7418, 0.0000)
Tb (0.7905, 0.2095, 0.0000)
Tb (0.8056, 0.8056, 0.5000)
Tm (0.2711, 0.7289, 0.5000)
Tm (0.7289, 0.2711, 0.5000)
Cd (0.0000, 0.5000, 0.2532)
Cd (0.0000, 0.5000, 0.7468)
Cd (0.5000, 0.0000, 0.2532)
Cd (0.5000, 0.0000, 0.7468)
Cd (0.5000, 0.5000, 0.2442)
Cd (0.5000, 0.5000, 0.7558)

Formation energy from the elements (meV per atom): -136
SG: No. 65
M_tot (μB per cell): 0.00

***

[11]
Compound: Tb5Tm4Cd
Source: the Alexandria database
Functional: GGA-PBE
Structure: optimized geometry

a = 3.5390 Å, b = 3.5390 Å, c = 24.0446 Å
α = 90.00°, β = 90.00°, γ = 90.00°
Sites, in units of the cell vectors:
Tb (0.0000, 0.0000, 0.0000)
Tb (0.0000, 0.0000, 0.2061)
Tb (0.0000, 0.0000, 0.4121)
Tb (0.0000, 0.0000, 0.5879)
Tb (0.0000, 0.0000, 0.7939)
Tm (0.5000, 0.5000, 0.1030)
Tm (0.5000, 0.5000, 0.3091)
Tm (0.5000, 0.5000, 0.6909)
Tm (0.5000, 0.5000, 0.8970)
Cd (0.5000, 0.5000, 0.5000)

Formation energy from the elements (meV per atom): -43
SG: No. 123
M_tot (μB per cell): 0.00

***

[12]
Compound: TbTmCd3
Source: the Alexandria database
Functional: GGA-PBE
Structure: optimized geometry

a = 11.6461 Å, b = 11.6461 Å, c = 11.6461 Å
α = 151.73°, β = 151.73°, γ = 40.41°
Sites, in units of the cell vectors:
Tb (0.0000, 0.0000, 0.0000)
Tb (0.7500, 0.2500, 0.5000)
Tm (0.4167, 0.4167, 0.0000)
Tm (0.5833, 0.5833, 0.0000)
Cd (0.0354, 0.5354, 0.5000)
Cd (0.3733, 0.1263, 0.2470)
Cd (0.4646, 0.9646, 0.5000)
Cd (0.8737, 0.1207, 0.2470)
Cd (0.8737, 0.6267, 0.7530)
Cd (0.8793, 0.1263, 0.7530)

Formation energy from the elements (meV per atom): 304
SG: No. 119
M_tot (μB per cell): 0.00

***

Look up the M_tot of the fifth one. 0.00 μB per cell

***

formation energy from the elements of number 4 (Tb6Tm3Cd)? -18 meV per atom

***

Copy entry 9 word for word.
Compound: Tb6TmCd5
Source: the Alexandria database
Functional: GGA-PBE
Structure: optimized geometry

a = 9.2798 Å, b = 9.2798 Å, c = 5.2665 Å
α = 106.43°, β = 106.43°, γ = 49.42°
Sites, in units of the cell vectors:
Tb (0.0745, 0.5843, 0.3292)
Tb (0.2329, 0.7671, 0.0000)
Tb (0.4157, 0.9255, 0.6708)
Tb (0.5843, 0.0745, 0.3292)
Tb (0.7671, 0.2329, 0.0000)
Tb (0.9255, 0.4157, 0.6708)
Tm (0.5000, 0.5000, 0.5000)
Cd (0.0000, 0.0000, 0.5000)
Cd (0.1683, 0.1683, 0.1685)
Cd (0.3469, 0.3469, 0.8467)
Cd (0.6531, 0.6531, 0.1533)
Cd (0.8317, 0.8317, 0.8315)

Formation energy from the elements (meV per atom): -221
SG: No. 12
M_tot (μB per cell): 0.00

***

The highest M_tot belongs to which entry? TbTm4Cd5